1.
Density functional theory data (PBE-GGA) for a relaxed structure of TlSbIr2Br.

a = 4.6932 Å, b = 4.6932 Å, c = 5.7327 Å
α = 90.00°, β = 90.00°, γ = 90.00°
Last column: nearest neighbours and their distance in Å.
Space group P4/mmm (No. 123)
One atom of each set of equivalent atoms:
Tl: 0.0000 0.0000 0.0000 x1  2 Br 2.87
Sb: 0.5000 0.5000 0.0000 x1  4 Tl 3.32, 8 Ir 3.70
Ir: 0.0000 0.5000 0.5000 x2  2 Br 2.35
Br: 0.0000 0.0000 0.5000 x1  4 Ir 2.35

E_form (uncorrected): 1.4522 eV per atom
DFT total energy: -18.6 eV for the cell shown

***

2.
Density functional theory data (PBE-GGA) for a relaxed structure of SrLiCoSn2.

a = 4.9289 Å, b = 4.9289 Å, c = 4.9164 Å
α = 90.00°, β = 90.00°, γ = 90.00°
Last column: nearest neighbours and their distance in Å.
Space group P4/mmm (No. 123)
One atom of each set of equivalent atoms:
Sr: 0.0000 0.0000 0.0000 x1  8 Sn 3.48, 4 Li 3.49
Li: 0.5000 0.5000 0.0000 x1  2 Co 2.46
Co: 0.5000 0.5000 0.5000 x1  2 Li 2.46, 4 Sn 2.46
Sn: 0.0000 0.5000 0.5000 x2  2 Co 2.46

E_form: -0.2361 eV per atom
DFT total energy: -19.9 eV for the cell shown

***

> Look up the DFT total energy of the first one.

-18.6 eV for the cell shown

***

> Which value of DFT total energy does entry 1 give?

-18.6 eV for the cell shown

***

> Which value of DFT total energy does entry 2 give?

-19.9 eV for the cell shown

***

Copy entry 1 word for word.
Density functional theory data (PBE-GGA) for a relaxed structure of TlSbIr2Br.

a = 4.6932 Å, b = 4.6932 Å, c = 5.7327 Å
α = 90.00°, β = 90.00°, γ = 90.00°
Last column: nearest neighbours and their distance in Å.
Space group P4/mmm (No. 123)
One atom of each set of equivalent atoms:
Tl: 0.0000 0.0000 0.0000 x1  2 Br 2.87
Sb: 0.5000 0.5000 0.0000 x1  4 Tl 3.32, 8 Ir 3.70
Ir: 0.0000 0.5000 0.5000 x2  2 Br 2.35
Br: 0.0000 0.0000 0.5000 x1  4 Ir 2.35

E_form (uncorrected): 1.4522 eV per atom
DFT total energy: -18.6 eV for the cell shown